This record from the Alexandria database describes a relaxed structure of LiTlCo2. The functional is PBE-GGA.

```
LiTlCo2
1.0
-2.578 1.396 -0.861
-1.016 -0.100 2.878
2.730 5.758 1.164
Li Tl Co
1 1 2
Cartesian
-0.771 1.791 -0.210 Li
0.815 2.740 2.003 Tl
2.082 5.414 2.543 Co
0.860 5.231 0.485 Co
```

Output
symmetry = No. 99
D(E_F) = 3.5 states/eV per cell
energy of formation from the pure elements = 0.230 eV/atom
V = 15.1 A^3/atom

---

This record from the Alexandria database describes a relaxed structure of KZr2GaCo. The functional is PBE-GGA.

```
KZr2GaCo
1.0
-0.834 -4.022 -2.505
5.588 -0.219 -1.508
0.952 -2.633 3.912
K Co Ga Zr
1 1 1 2
Cartesian
2.794 -0.110 -0.754 K
0.000 0.000 0.000 Co
2.853 -3.437 -0.050 Ga
0.476 -1.317 1.956 Zr
-0.417 -2.011 -1.252 Zr
```

Output
symmetry = No. 123
D(E_F) = 7.0 states/eV per cell
energy of formation from the pure elements = 0.695 eV/atom
V = 26.8 A^3/atom

---

This record from the Alexandria database describes a relaxed structure of AuBr2Cl. The functional is PBE-GGA.

```
AuBr2Cl
1.0
4.427 0.000 0.000
0.000 5.788 -0.253
0.000 3.863 4.318
Au Br Cl
1 2 1
Cartesian
2.214 7.238 3.049 Au
0.000 9.327 3.929 Br
0.000 5.149 2.169 Br
2.214 2.413 1.016 Cl
```

Output
polymorph energy (0 for the lowest one) = 1.093 eV per formula unit
formation energy (no corrections) = 2.26 kcal/mol of atoms
symmetry = No. 65
D(E_F) = 1.9 states/eV per cell
V = 28.7 A^3/atom

---

This record from the Alexandria database describes a relaxed structure of ReSbTe. The functional is PBE-GGA.

```
ReSbTe
1.0
4.596 0.000 0.000
2.298 3.980 0.000
2.298 1.327 3.753
Re Sb Te
1 1 1
Cartesian
6.894 3.980 2.815 Re
0.000 0.000 0.000 Sb
4.596 2.654 1.876 Te
```

Output
polymorph energy (0 for the lowest one) = 0.919 eV per formula unit
formation energy (no corrections) = 9.29 kcal/mol of atoms
symmetry = No. 216
D(E_F) = 2.2 states/eV per cell
V = 22.9 A^3/atom

---

This record from the Alexandria database describes a relaxed structure of BeCoTc2. The functional is PBE-GGA.

```
BeCoTc2
1.0
-2.981 1.276 -3.475
-0.780 -0.108 -4.687
-2.565 -2.933 -1.306
Be Co Tc
1 1 2
Cartesian
-3.180 -0.823 -4.833 Be
-1.553 -0.540 -2.202 Co
-3.752 1.137 -8.111 Tc
-4.765 -1.253 -7.219 Tc
```

Output
polymorph energy (0 for the lowest one) = 0.055 eV per formula unit
symmetry = No. 44
D(E_F) = 3.5 states/eV per cell
energy of formation from the pure elements = -0.048 eV/atom
V = 11.9 A^3/atom

---

Calculated total energy, -4.393 -4.970 -2.019 -6.168 -7.939 eV per atom (same order as the records).